First-principles (PBE) data for a relaxed Li3Cd2Ag5 crystal, as listed in the Alexandria database.

The structure in CIF format:
```
data_Li3Cd2Ag5
_chemical_formula_sum 'Li12 Cd8 Ag20'
_cell_length_a 9.772
_cell_length_b 12.899
_cell_length_c 5.605
_cell_angle_alpha 90.00
_cell_angle_beta 93.25
_cell_angle_gamma 90.00
_symmetry_space_group_name_H-M 'C 1 2/c 1'
_symmetry_Int_Tables_number 15
loop_
_symmetry_equiv_pos_as_xyz
'x,y,z'
'-x,-y,-z'
'-x,y,-z+1/2'
'x,-y,z+1/2'
'x+1/2,y+1/2,z'
'-x+1/2,-y+1/2,-z'
'-x+1/2,y+1/2,-z+1/2'
'x+1/2,-y+1/2,z+1/2'
loop_
_atom_site_label
_atom_site_fract_x
_atom_site_fract_y
_atom_site_fract_z
Li1 0.000 0.039 0.250
Li2 0.131 0.358 0.618
Cd1 0.125 0.250 0.124
Ag1 0.000 0.461 0.250
Ag2 0.122 0.155 0.615
Ag3 0.247 0.041 0.998
```

Computed properties:
- total magnetization (μB/atom) = 0.00
- E (eV per atom) = -2.344
- formation energy from the elements (meV/atom) = -161.4